(1)
The following is a GGA-PBEsol calculation of NaMoN2 after structural relaxation, from the Alexandria database.

## Properties
- E_tot (eV per atom) = -6.661
- energy above the lowest structure with this stoichiometry (meV/atom) = 1349.1
- E_form (uncorrected) (eV per atom) = 0.89
- N(E_F) (states/eV/f.u.) = 2.340

a = 3.0616 Å, b = 3.0616 Å, c = 20.6147 Å
α = 90.00°, β = 90.00°, γ = 120.00°
Space group R-3m (No. 166, hexagonal axes)
Unique sites:
Na: 0.0000 0.0000 0.0000 x3
Mo: 0.0000 0.0000 0.5000 x3
N: 0.0000 0.0000 0.4117 x6

(2)
The following is a GGA-PBEsol calculation of TlCoCu after structural relaxation, from the Alexandria database.

## Properties
- E_tot (eV per atom) = -4.367
- DFT formation energy (eV/atom) = 0.53
- N(E_F) (states/eV/f.u.) = 2.658

a = 4.1365 Å, b = 4.1365 Å, c = 2.9513 Å
α = 90.00°, β = 90.00°, γ = 120.00°
Space group P3m1 (No. 156)
Unique sites:
Tl: 0.0000 0.0000 0.0000 x1
Co: 0.6667 0.3333 0.4164 x1
Cu: 0.3333 0.6667 0.6270 x1

(3)
The following is a GGA-PBEsol calculation of Zn2InCuSe4 after structural relaxation, from the Alexandria database.

## Properties
- E_tot (eV per atom) = -3.769
- E_form (uncorrected) (eV per atom) = -0.53
- N(E_F) (states/eV/f.u.) = 0.088

a = 5.705 Å, b = 5.705 Å, c = 11.419 Å
α = 90.00°, β = 90.00°, γ = 90.00°
Space group I-42m (No. 121)
Unique sites:
Zn: 0.000 0.500 0.250 x4
In: 0.000 0.000 0.000 x2
Cu: 0.000 0.000 0.500 x2
Se: 0.234 0.234 0.628 x8

(4)
The following is a GGA-PBEsol calculation of SrFe2Pb after structural relaxation, from the Alexandria database.

## Properties
- E_tot (eV per atom) = -5.372
- DFT formation energy (eV/atom) = 0.57
- N(E_F) (states/eV/f.u.) = 2.929

a = 3.605 Å, b = 3.605 Å, c = 6.692 Å
α = 90.00°, β = 90.00°, γ = 90.00°
Space group P4/mmm (No. 123)
Unique sites:
Sr: 0.000 0.000 0.000 x1
Fe: 0.500 0.500 0.332 x2
Pb: 0.000 0.000 0.500 x1

(5)
The following is a GGA-PBEsol calculation of SbTe after structural relaxation, from the Alexandria database.

## Properties
- E_tot (eV per atom) = -3.942
- energy above the lowest structure with this stoichiometry (meV/atom) = 200.3
- E_form (uncorrected) (eV per atom) = 0.10
- N(E_F) (states/eV/f.u.) = 0.845

a = 3.742 Å, b = 3.742 Å, c = 8.248 Å
α = 90.00°, β = 90.00°, γ = 90.00°
Space group P4/nmm (No. 129, origin choice 2)
Unique sites:
Sb: 0.250 0.250 0.148 x2
Te: 0.250 0.250 0.671 x2

(6)
The following is a GGA-PBEsol calculation of La2MgAs after structural relaxation, from the Alexandria database.

## Properties
- E_tot (eV per atom) = -4.788
- DFT formation energy (eV/atom) = -0.41
- N(E_F) (states/eV/f.u.) = 5.331

a = 8.500 Å, b = 8.500 Å, c = 6.572 Å
α = 90.00°, β = 90.00°, γ = 90.00°
Space group I-42d (No. 122)
Unique sites:
La: 0.214 0.250 0.125 x8
Mg: 0.000 0.000 0.500 x4
As: 0.000 0.000 0.000 x4

(7)
The following is a GGA-PBEsol calculation of SrZn2Sb after structural relaxation, from the Alexandria database.

## Properties
- E_tot (eV per atom) = -2.636
- E_form (uncorrected) (eV per atom) = -0.25
- N(E_F) (states/eV/f.u.) = 1.352

a = 4.4335 Å, b = 4.4335 Å, c = 17.6034 Å
α = 90.00°, β = 90.00°, γ = 120.00°
Space group R-3m (No. 166, hexagonal axes)
Unique sites:
Sr: 0.0000 0.0000 0.0000 x3
Zn: 0.0000 0.0000 0.2289 x6
Sb: 0.0000 0.0000 0.5000 x3

(8)
The following is a GGA-PBEsol calculation of K4BaSi3O9 after structural relaxation, from the Alexandria database.

## Properties
- E_tot (eV per atom) = -6.729
- E_form (uncorrected) (eV per atom) = -2.54
- N(E_F) (states/eV/f.u.) = 0.000

a = 11.143 Å, b = 8.125 Å, c = 11.968 Å
α = 90.00°, β = 90.00°, γ = 90.00°
Space group Ama2 (No. 40)
Unique sites:
K: 0.000 0.000 0.000 x4
K: 0.000 0.000 0.470 x4
K: 0.250 0.052 0.784 x4
K: 0.250 0.241 0.502 x4
Ba: 0.250 0.006 0.245 x4
Si: 0.027 0.303 0.226 x8
Si: 0.250 0.273 0.043 x4
O: 0.000 0.000 0.757 x4
O: 0.087 0.223 0.336 x8
O: 0.093 0.279 0.675 x8
O: 0.132 0.308 0.126 x8
O: 0.250 0.080 0.009 x4
O: 0.250 0.409 0.946 x4

(9)
The following is a GGA-PBEsol calculation of Ca3MnBe after structural relaxation, from the Alexandria database.

## Properties
- E_tot (eV per atom) = -3.110
- DFT formation energy (eV/atom) = 0.92
- N(E_F) (states/eV/f.u.) = 3.160

a = 5.306 Å, b = 5.306 Å, c = 5.306 Å
α = 90.00°, β = 90.00°, γ = 90.00°
Space group Pm-3m (No. 221)
Unique sites:
Ca: 0.000 0.000 0.500 x3
Mn: 0.000 0.000 0.000 x1
Be: 0.500 0.500 0.500 x1

(10)
The following is a GGA-PBEsol calculation of SrNbFeO6 after structural relaxation, from the Alexandria database.

## Properties
- E_tot (eV per atom) = -7.940
- E_form (uncorrected) (eV per atom) = -2.04
- N(E_F) (states/eV/f.u.) = 2.729

a = 5.384 Å, b = 5.384 Å, c = 7.627 Å
α = 90.00°, β = 90.00°, γ = 90.00°
Space group I-4m2 (No. 119)
Unique sites:
Sr: 0.000 0.000 0.000 x2
Nb: 0.000 0.500 0.250 x2
Fe: 0.000 0.500 0.750 x2
O: 0.000 0.500 0.508 x4
O: 0.239 0.261 0.750 x8

(11)
The following is a GGA-PBEsol calculation of BeZn2Ru after structural relaxation, from the Alexandria database.

## Properties
- E_tot (eV per atom) = -4.148
- DFT formation energy (eV/atom) = 0.19
- N(E_F) (states/eV/f.u.) = 2.489

a = 2.6670 Å, b = 2.6670 Å, c = 24.3120 Å
α = 90.00°, β = 90.00°, γ = 120.00°
Space group R-3m (No. 166, hexagonal axes)
Unique sites:
Be: 0.0000 0.0000 0.0000 x3
Zn: 0.0000 0.0000 0.2547 x6
Ru: 0.0000 0.0000 0.5000 x3

(12)
The following is a GGA-PBEsol calculation of KMnAs after structural relaxation, from the Alexandria database.

## Properties
- E_tot (eV per atom) = -4.951
- DFT formation energy (eV/atom) = 0.38
- N(E_F) (states/eV/f.u.) = 0.140

a = 6.789 Å, b = 6.789 Å, c = 6.789 Å
α = 90.00°, β = 90.00°, γ = 90.00°
Space group F-43m (No. 216)
Unique sites:
K: 0.000 0.000 0.000 x4
Mn: 0.000 0.000 0.500 x4
As: 0.250 0.250 0.750 x4

Q: The lowest N(E_F) belongs to which entry?
A: K4BaSi3O9